{"formula": "Y4SiTe", "functional": "PBE", "state": "relaxed", "lattice": [[0.000, 4.380, 4.380], [4.380, 0.000, 4.380], [4.380, 4.380, 0.000]], "species": ["Y", "Y", "Y", "Y", "Si", "Te"], "frac_coords": [[0.124, 0.124, 0.124], [0.124, 0.124, 0.628], [0.124, 0.628, 0.124], [0.628, 0.124, 0.124], [0.750, 0.750, 0.750], [0.500, 0.500, 0.500]], "crystal_system": "cubic", "e_form_raw_ev_per_fu": 1.210, "dft_energy_ev_per_fu": -33.211, "spacegroup": "No. 216", "m_tot_mub_per_fu": 0.0}